Record 1
Compound: KThUS4
Source: Alexandria
Functional: PBE
Structure: relaxed

Computed properties:
- E_tot: -6.768 eV/atom
- Formation energy from raw total energies: -1.580 eV per atom

Cell: 8.3966 8.6111 12.0343 Å, 90.00 90.00 90.00°
Closest atoms and distances in Å follow each position.
Space group Imma (No. 74)
Inequivalent atoms, fractional coordinates:
K (0.0000, 0.2500, 0.1318)  4 S 3.00
Th (0.0000, 0.0000, 0.5000)  6 S 2.81-2.82
U (0.2500, 0.2500, 0.7500)  6 S 2.78-2.80
S (0.0000, 0.0407, 0.7314)  2 U 2.78, 1 Th 2.81, 1 K 3.00
S (0.2151, 0.2500, 0.5184)  1 U 2.80, 2 Th 2.82, 1 K 3.00

=====

Record 2
Compound: Nd2Al3SiAu4
Source: Alexandria
Functional: PBE
Structure: relaxed

Computed properties:
- E_tot: -4.619 eV/atom
- Formation energy from raw total energies: -0.690 eV per atom

Cell: 4.4216 4.4216 10.3556 Å, 90.00 90.00 90.00°
Closest atoms and distances in Å follow each position.
Space group P-4m2 (No. 115)
Inequivalent atoms, fractional coordinates:
Nd (0.0000, 0.5000, 0.2465)  8 Au 3.37-3.43, 6 Al 3.37-3.38, 2 Si 3.38
Al (0.0000, 0.0000, 0.0000)  4 Au 2.56
Al (0.0000, 0.5000, 0.6313)  5 Au 2.53-2.60
Si (0.5000, 0.5000, 0.0000)  4 Au 2.56
Au (0.0000, 0.0000, 0.5000)  4 Al 2.60
Au (0.0000, 0.5000, 0.8751)  3 Al 2.53-2.56, 2 Si 2.56
Au (0.5000, 0.5000, 0.5000)  4 Al 2.60

=====

Record 3
Compound: NaZrH
Source: Alexandria
Functional: PBE
Structure: relaxed

Computed properties:
- E_tot: -4.228 eV/atom

Cell: 10.2229 2.9979 7.4995 Å, 90.00 90.49 90.00°
Closest atoms and distances in Å follow each position.
Space group C2/m (No. 12)
Inequivalent atoms, fractional coordinates:
Na (0.1412, 0.0000, 0.3604)  1 H 2.20
Zr (0.1403, 0.0000, 0.9170)  1 H 2.01
H (0.1675, 0.0000, 0.6513)  1 Zr 2.01, 1 Na 2.20

=====

Record 4
Compound: TcSe
Source: Alexandria
Functional: PBE
Structure: relaxed

Computed properties:
- E_tot: -7.008 eV/atom
- Formation energy from raw total energies: -0.083 eV per atom
- Distance to the lowest polymorph of the same formula: 0.123 eV/atom

Cell: 3.1966 4.4722 5.4984 Å, 90.00 90.00 90.00°
Closest atoms and distances in Å follow each position.
Space group Pmmn (No. 59, origin choice 2)
Inequivalent atoms, fractional coordinates:
Tc (0.2500, 0.2500, 0.0553)  4 Se 2.44-2.55
Se (0.2500, 0.7500, 0.2796)  4 Tc 2.44-2.55

=====

Record 5
Compound: CeErCu4
Source: Alexandria
Functional: PBE
Structure: relaxed

Computed properties:
- E_tot: -4.692 eV/atom
- ΔE_f: -0.21 eV per atom
- Distance to the lowest polymorph of the same formula: 0.000 eV/atom

Cell: 4.3084 6.7961 7.3879 Å, 90.00 90.00 90.00°
Closest atoms and distances in Å follow each position.
Space group Imm2 (No. 44)
Inequivalent atoms, fractional coordinates:
Ce (0.0000, 0.0000, 0.0000)  12 Cu 2.96-3.10
Er (0.0000, 0.5000, 0.0790)  12 Cu 2.95-3.10
Cu (0.0000, 0.2005, 0.3775)  4 Cu 2.49-2.73
Cu (0.0000, 0.2977, 0.7073)  4 Cu 2.49-2.75

=====

Record 6
Compound: Tb6HgTe3P2
Source: Alexandria
Functional: PBE
Structure: relaxed

Computed properties:
- E_tot: -5.340 eV/atom
- Formation energy from raw total energies: -1.313 eV per atom

Cell: 18.6057 4.1589 8.7009 Å, 90.00 103.80 90.00°
Closest atoms and distances in Å follow each position.
Space group C2/m (No. 12)
Inequivalent atoms, fractional coordinates:
Tb (0.0128, 0.0000, 0.2534)  1 P 2.83, 2 Hg 3.00, 2 Te 3.04
Tb (0.1679, 0.5000, 0.1149)  2 P 2.85, 1 Hg 3.04, 1 Te 3.05
Tb (0.1755, 0.5000, 0.5637)  3 P 2.80-2.84
Hg (0.0000, 0.5000, 0.0000)  6 Tb 3.00-3.04
Te (0.0000, 0.5000, 0.5000)  6 Tb 3.04-3.18
Te (0.1638, 0.0000, 0.8327)  6 Tb 3.05-3.20
P (0.1696, 0.0000, 0.3391)  6 Tb 2.80-2.85

=====

Record 7
Compound: PrTlAg3
Source: Alexandria
Functional: PBE
Structure: relaxed

Computed properties:
- E_tot: -3.152 eV/atom
- ΔE_f: -0.01 eV per atom

Cell: 4.8034 28.9757 3.4479 Å, 90.00 90.00 90.00°
Closest atoms and distances in Å follow each position.
Space group Cmmm (No. 65)
Inequivalent atoms, fractional coordinates:
Pr (0.0000, 0.1769, 0.0000)  6 Ag 3.28-3.30, 4 Tl 3.34, 2 Pr 3.45
Tl (0.0000, 0.3770, 0.5000)  5 Ag 2.83-3.15
Ag (0.0000, 0.0526, 0.5000)  5 Ag 2.96-3.05, 2 Tl 3.15
Ag (0.0000, 0.2741, 0.5000)  2 Ag 2.78, 1 Tl 2.98
Ag (0.0000, 0.4545, 0.0000)  1 Ag 2.64, 2 Tl 2.83

=====

Record 8
Compound: Ba2InO
Source: Alexandria
Functional: PBE
Structure: relaxed

Computed properties:
- E_tot: -3.936 eV/atom
- Formation energy from raw total energies: -1.050 eV per atom
- Distance to the lowest polymorph of the same formula: 0.321 eV/atom

Cell: 3.8853 3.8853 30.6216 Å, 90.00 90.00 120.00°
Closest atoms and distances in Å follow each position.
Space group R-3m (No. 166, hexagonal axes)
Inequivalent atoms, fractional coordinates:
Ba (0.0000, 0.0000, 0.1161)  3 O 2.73
In (0.0000, 0.0000, 0.0000)  2 Ba 3.55, 6 In 3.89
O (0.0000, 0.0000, 0.5000)  6 Ba 2.73

=====

Record 9
Compound: Dy4HgBi2Se
Source: Alexandria
Functional: PBE
Structure: relaxed

Computed properties:
- E_tot: -4.669 eV/atom
- Formation energy from raw total energies: -0.925 eV per atom

Cell: 7.2857 4.2905 7.8259 Å, 90.00 108.79 90.00°
Closest atoms and distances in Å follow each position.
Space group P2/m (No. 10)
Inequivalent atoms, fractional coordinates:
Dy (0.2346, 0.0000, 0.2381)  2 Se 2.99, 1 Hg 3.06, 3 Bi 3.09-3.16
Dy (0.2362, 0.5000, 0.7566)  1 Se 2.95, 2 Hg 3.06, 3 Bi 3.09-3.20
Hg (0.0000, 0.0000, 0.5000)  6 Dy 3.06
Bi (0.5000, 0.0000, 0.0000)  6 Dy 3.09
Bi (0.5000, 0.5000, 0.5000)  6 Dy 3.16-3.20
Se (0.0000, 0.5000, 0.0000)  6 Dy 2.95-2.99

=====

Record 10
Compound: VB2Te2
Source: Alexandria
Functional: PBE
Structure: relaxed

Computed properties:
- E_tot: -5.033 eV/atom
- Formation energy from raw total energies: 0.718 eV per atom
- Distance to the lowest polymorph of the same formula: 0.000 eV/atom

Cell: 5.1617 5.1617 6.1681 Å, 90.00 90.00 90.00°
Closest atoms and distances in Å follow each position.
Space group I4/mmm (No. 139)
Inequivalent atoms, fractional coordinates:
V (0.0000, 0.0000, 0.0000)  2 B 2.25
B (0.0000, 0.0000, 0.3656)  1 B 1.66
Te (0.0000, 0.5000, 0.2500)  4 B 2.68